Computed, not measured: a relaxed structure of IrC2Se4 at the PBE-GGA level of DFT.

Structure (POSCAR):
```
IrC2Se4
1.0
4.728 0.000 0.000
0.000 4.728 0.000
0.000 0.000 14.576
Ir C Se
2 4 8
direct
0.000 0.000 0.000 Ir
0.500 0.500 0.500 Ir
0.000 0.000 0.402 C
0.000 0.000 0.598 C
0.500 0.500 0.098 C
0.500 0.500 0.902 C
0.000 0.000 0.283 Se
0.000 0.000 0.717 Se
0.000 0.500 0.000 Se
0.000 0.500 0.500 Se
0.500 0.000 0.000 Se
0.500 0.000 0.500 Se
0.500 0.500 0.217 Se
0.500 0.500 0.783 Se
```

The value obtained for the density is 5.42 Mg/m³. For the calculated total energy, the calculation gives -64.1 eV for the cell shown. The formation energy (no corrections) is 1.314 eV/atom. Its space-group type is No. 139.

Computed, not measured: a relaxed structure of NaLiCu3 at the PBE-GGA level of DFT.

Structure (POSCAR):
```
NaLiCu3
1.0
4.782 0.000 0.000
0.000 4.782 0.000
0.000 0.000 4.782
Na Li Cu
1 1 3
direct
0.000 0.000 0.000 Na
0.500 0.500 0.500 Li
0.000 0.000 0.500 Cu
0.000 0.500 0.000 Cu
0.500 0.000 0.000 Cu
```

The value obtained for the density is 3.35 Mg/m³. For the calculated total energy, the calculation gives -10.5 eV for the cell shown. The calculated formation energy is 1.008 eV per atom. Its space-group type is No. 221.

Computed, not measured: a relaxed structure of MgSc2Mn2 at the PBE-GGA level of DFT.

Structure (POSCAR):
```
MgSc2Mn2
1.0
7.872 0.000 0.000
0.000 7.872 0.000
0.000 0.000 3.075
Mg Sc Mn
2 4 4
direct
0.000 0.000 0.000 Mg
0.500 0.500 0.000 Mg
0.136 0.364 0.000 Sc
0.364 0.864 0.000 Sc
0.636 0.136 0.000 Sc
0.864 0.636 0.000 Sc
0.160 0.660 0.500 Mn
0.340 0.160 0.500 Mn
0.660 0.840 0.500 Mn
0.840 0.340 0.500 Mn
```

The value obtained for the density is 3.91 Mg/m³. For the calculated total energy, the calculation gives -63.0 eV for the cell shown. The calculated formation energy is 0.224 eV per atom. Its space-group type is No. 127.

Computed, not measured: a relaxed structure of Ac2Tb12Sm5 at the PBE-GGA level of DFT.

Structure (POSCAR):
```
Ac2Tb12Sm5
1.0
6.824 0.000 0.000
-3.359 8.208 0.000
-2.791 -1.702 11.559
Ac Tb Sm
2 12 5
direct
0.220 0.037 0.135 Ac
0.780 0.963 0.865 Ac
0.002 0.887 0.376 Tb
0.164 0.765 0.834 Tb
0.206 0.632 0.263 Tb
0.381 0.503 0.743 Tb
0.394 0.963 0.619 Tb
0.417 0.175 0.882 Tb
0.583 0.825 0.118 Tb
0.606 0.037 0.381 Tb
0.619 0.497 0.257 Tb
0.794 0.368 0.737 Tb
0.836 0.235 0.166 Tb
0.998 0.113 0.624 Tb
0.000 0.500 0.500 Sm
0.206 0.428 0.998 Sm
0.358 0.294 0.458 Sm
0.642 0.706 0.542 Sm
0.794 0.572 0.002 Sm
```

The value obtained for the density is 7.98 Mg/m³. For the calculated total energy, the calculation gives -85.8 eV for the cell shown. The calculated formation energy is 0.084 eV per atom. Its space-group type is No. 2.

Computed, not measured: a relaxed structure of In2HgP at the PBE-GGA level of DFT.

Structure (POSCAR):
```
In2HgP
1.0
4.448 0.000 0.000
0.000 5.439 0.000
0.000 0.000 8.037
In Hg P
4 2 2
direct
0.000 0.000 0.000 In
0.000 0.500 0.301 In
0.500 0.000 0.301 In
0.500 0.500 0.000 In
0.000 0.500 0.729 Hg
0.500 0.000 0.729 Hg
0.000 0.000 0.489 P
0.500 0.500 0.489 P
```

The value obtained for the density is 7.88 Mg/m³. For the calculated total energy, the calculation gives -20.6 eV for the cell shown. The calculated formation energy is 0.220 eV per atom. Its space-group type is No. 35.

Computed, not measured: a relaxed structure of KTlCr3 at the PBE-GGA level of DFT.

Structure (POSCAR):
```
KTlCr3
1.0
5.406 0.000 0.000
0.000 5.406 0.000
0.000 0.000 5.406
K Tl Cr
1 1 3
direct
0.000 0.000 0.000 K
0.500 0.500 0.500 Tl
0.000 0.500 0.500 Cr
0.500 0.000 0.500 Cr
0.500 0.500 0.000 Cr
```

The value obtained for the density is 4.20 Mg/m³. For the calculated total energy, the calculation gives -25.9 eV for the cell shown. The calculated formation energy is 1.285 eV per atom. Its space-group type is No. 221.

Computed, not measured: a relaxed structure of BaFeRu at the PBE-GGA level of DFT.

Structure (POSCAR):
```
BaFeRu
1.0
4.458 0.000 0.000
0.000 4.373 0.000
-0.227 0.000 8.920
Ba Fe Ru
2 2 2
direct
0.249 0.250 0.206 Ba
0.751 0.750 0.794 Ba
0.153 0.250 0.597 Fe
0.847 0.750 0.403 Fe
0.337 0.750 0.506 Ru
0.663 0.250 0.494 Ru
```

The value obtained for the density is 5.62 Mg/m³. For the calculated total energy, the calculation gives -37.3 eV for the cell shown. The calculated formation energy is 0.341 eV per atom. Its space-group type is No. 11.

Computed, not measured: a relaxed structure of CeDy2Ag at the PBE-GGA level of DFT.

Structure (POSCAR):
```
CeDy2Ag
1.0
7.495 0.000 0.000
0.000 7.495 0.000
0.000 0.000 7.495
Ce Dy Ag
4 8 4
direct
0.000 0.000 0.000 Ce
0.000 0.500 0.500 Ce
0.500 0.000 0.500 Ce
0.500 0.500 0.000 Ce
0.250 0.250 0.250 Dy
0.250 0.250 0.750 Dy
0.250 0.750 0.250 Dy
0.250 0.750 0.750 Dy
0.750 0.250 0.250 Dy
0.750 0.250 0.750 Dy
0.750 0.750 0.250 Dy
0.750 0.750 0.750 Dy
0.000 0.000 0.500 Ag
0.000 0.500 0.000 Ag
0.500 0.000 0.000 Ag
0.500 0.500 0.500 Ag
```

The value obtained for the density is 9.04 Mg/m³. For the calculated total energy, the calculation gives -69.9 eV for the cell shown. The calculated formation energy is 0.131 eV per atom. Its space-group type is No. 225.

Q: calculated total energy of number 3 (MgSc2Mn2)?
A: -63.0 eV for the cell shown